# YTeSe2

A relaxed YTeSe2 crystal (PBE, Alexandria via LeMat-Bulk).

Calculated values
Mass density   6.064 g/cm3
Total energy   -0.1835 Ha/atom
Formation energy without anion corrections   -0.85 eV/atom

Geometry as CIF:
```
data_YTeSe2
_chemical_formula_sum 'Y1 Te1 Se2'
_cell_length_a 3.749
_cell_length_b 3.749
_cell_length_c 7.294
_cell_angle_alpha 90.00
_cell_angle_beta 90.00
_cell_angle_gamma 90.00
_space_group_name_H-M_alt 'P 4/m m m'
_space_group_IT_number 123
_space_group_name_Hall '-P 4 2'
loop_
_atom_site_label
_atom_site_type_symbol
_atom_site_fract_x
_atom_site_fract_y
_atom_site_fract_z
Y1 Y 0.000 0.000 0.000
Te1 Te 0.000 0.000 0.500
Se1 Se 0.500 0.500 0.182
```